Material: CdHgPO
Method: DFT, PBE-GGA
State: optimized geometry

For the energy relative to the lowest polymorph listed for this composition, the calculation gives 367 meV per atom. As for the symmetry: P4/nmm, No. 129.

Cell lengths 4.386, 4.386, 8.601 Å; angles 90.00, 90.00, 90.00 degrees
Sites, in units of the cell vectors:
O 0.500 0.500 0.000
O 0.000 0.000 0.000
P 0.500 0.000 0.327
P 0.000 0.500 0.673
Hg 0.500 0.000 0.926
Hg 0.000 0.500 0.074
Cd 0.000 0.000 0.500
Cd 0.500 0.500 0.500


Material: CdHgPO
Method: DFT, PBE-GGA
State: optimized geometry

For the energy relative to the lowest polymorph listed for this composition, the calculation gives 139 meV per atom. As for the symmetry: P4/nmm, No. 129.

Cell lengths 4.327, 4.327, 8.760 Å; angles 90.00, 90.00, 90.00 degrees
Sites, in units of the cell vectors:
O 0.000 0.000 0.000
O 0.500 0.500 0.000
P 0.500 0.000 0.318
P 0.000 0.500 0.682
Hg 0.500 0.500 0.500
Hg 0.000 0.000 0.500
Cd 0.500 0.000 0.939
Cd 0.000 0.500 0.061


- Look up the energy relative to the lowest polymorph listed for this composition of the second one.
  139 meV per atom


- Which value of energy relative to the lowest polymorph listed for this composition does entry 2 give?
  139 meV per atom